A relaxed Y2W2O9 crystal. Source: the Alexandria database, functional PBEsol.

a = 6.628 Å, b = 6.974 Å, c = 7.299 Å
α = 71.10°, β = 84.36°, γ = 82.69°
Positions (direct):
Y (0.386, 0.712, 0.623)
Y (0.614, 0.288, 0.377)
Y (0.852, 0.737, 0.843)
Y (0.148, 0.263, 0.157)
W (0.271, 0.736, 0.053)
W (0.729, 0.264, 0.947)
W (0.159, 0.208, 0.632)
W (0.841, 0.792, 0.368)
O (0.043, 0.695, 0.534)
O (0.369, 0.358, 0.624)
O (0.737, 0.055, 0.852)
O (0.493, 0.243, 0.095)
O (0.317, 0.088, 0.456)
O (0.851, 0.071, 0.220)
O (0.963, 0.741, 0.140)
O (0.183, 0.567, 0.910)
O (0.263, 0.945, 0.148)
O (0.149, 0.929, 0.780)
O (0.037, 0.259, 0.860)
O (0.324, 0.506, 0.253)
O (0.676, 0.494, 0.747)
O (0.631, 0.642, 0.376)
O (0.683, 0.912, 0.544)
O (0.507, 0.757, 0.905)
O (0.957, 0.305, 0.466)
O (0.817, 0.433, 0.090)

**Density of states at the Fermi level**: 0.00 states/eV per atom
**SG**: P-1
**VASP energy**: -0.7024 Ry per atom
**M_tot**: 0.00 μB per atom
**Crystal system**: triclinic
**Excess energy over the best structure of this formula in the dataset**: 0 meV per atom
**Energy relative to the elements, uncorrected**: -2749 meV/atom



A relaxed Y2W2O9 crystal. Source: the Alexandria database, functional PBEsol.

a = 7.090 Å, b = 9.629 Å, c = 9.629 Å
α = 106.05°, β = 90.00°, γ = 90.00°
Positions (direct):
O (0.206, 0.030, 0.328)
O (0.500, 0.910, 0.152)
O (0.500, 0.208, 0.632)
O (0.000, 0.090, 0.848)
O (0.706, 0.672, 0.970)
O (0.294, 0.672, 0.970)
O (0.311, 0.524, 0.697)
O (0.500, 0.632, 0.208)
O (0.250, 0.000, 0.000)
O (0.000, 0.560, 0.560)
O (0.000, 0.225, 0.225)
O (0.000, 0.792, 0.368)
O (0.500, 0.423, 0.889)
O (0.188, 0.476, 0.303)
O (0.294, 0.970, 0.672)
O (0.500, 0.152, 0.910)
O (0.189, 0.303, 0.476)
O (0.500, 0.775, 0.775)
O (0.500, 0.889, 0.423)
O (0.000, 0.796, 0.796)
O (0.312, 0.697, 0.524)
O (0.000, 0.368, 0.792)
O (0.000, 0.848, 0.090)
O (0.794, 0.328, 0.030)
O (0.206, 0.328, 0.030)
O (0.689, 0.697, 0.524)
O (0.000, 0.111, 0.577)
O (0.000, 0.577, 0.111)
O (0.811, 0.476, 0.303)
O (0.812, 0.303, 0.476)
O (0.500, 0.440, 0.440)
O (0.500, 0.204, 0.204)
O (0.706, 0.970, 0.672)
O (0.794, 0.030, 0.328)
O (0.750, 0.000, 0.000)
O (0.688, 0.524, 0.697)
W (0.750, 0.500, 0.500)
W (0.000, 0.392, 0.145)
W (0.500, 0.855, 0.608)
W (0.000, 0.145, 0.392)
W (0.250, 0.500, 0.500)
W (0.500, 0.608, 0.855)
W (0.500, 0.048, 0.048)
W (0.000, 0.952, 0.952)
Y (0.250, 0.227, 0.773)
Y (0.750, 0.773, 0.227)
Y (0.999, 0.878, 0.590)
Y (0.001, 0.590, 0.878)
Y (0.750, 0.227, 0.773)
Y (0.501, 0.410, 0.122)
Y (0.499, 0.122, 0.410)
Y (0.250, 0.773, 0.227)

**Density of states at the Fermi level**: 0.00 states/eV per atom
**SG**: C222_1
**VASP energy**: -0.7010 Ry per atom
**M_tot**: 0.00 μB per atom
**Crystal system**: orthorhombic
**Excess energy over the best structure of this formula in the dataset**: 20 meV per atom
**Energy relative to the elements, uncorrected**: -2729 meV/atom



A relaxed YW3O8 crystal. Source: the Alexandria database, functional PBEsol.

a = 5.125 Å, b = 5.652 Å, c = 9.642 Å
α = 90.00°, β = 95.33°, γ = 90.00°
Positions (direct):
W (0.782, 0.880, 0.494)
W (0.750, 0.369, 0.750)
W (0.250, 0.631, 0.250)
W (0.282, 0.120, 0.994)
W (0.218, 0.120, 0.506)
W (0.718, 0.880, 0.006)
O (0.868, 0.620, 0.626)
O (0.088, 0.354, 0.861)
O (0.911, 0.144, 0.628)
O (0.411, 0.856, 0.128)
O (0.049, 0.887, 0.899)
O (0.951, 0.113, 0.101)
O (0.632, 0.620, 0.874)
O (0.368, 0.380, 0.126)
O (0.912, 0.646, 0.139)
O (0.588, 0.646, 0.361)
O (0.132, 0.380, 0.374)
O (0.549, 0.113, 0.399)
O (0.451, 0.887, 0.601)
O (0.412, 0.354, 0.639)
O (0.589, 0.144, 0.872)
O (0.089, 0.856, 0.372)
Y (0.750, 0.313, 0.250)
Y (0.250, 0.687, 0.750)

**Density of states at the Fermi level**: 0.28 states/eV per atom
**SG**: P2/c
**VASP energy**: -0.7194 Ry per atom
**M_tot**: 0.00 μB per atom
**Crystal system**: monoclinic
**Energy relative to the elements, uncorrected**: -2268 meV/atom



A relaxed Y2W2O9 crystal. Source: the Alexandria database, functional PBEsol.

a = 5.273 Å, b = 5.484 Å, c = 23.140 Å
α = 90.00°, β = 90.00°, γ = 90.00°
Positions (direct):
W (0.753, 0.850, 0.424)
W (0.247, 0.350, 0.424)
W (0.247, 0.150, 0.576)
W (0.253, 0.650, 0.924)
W (0.253, 0.850, 0.076)
W (0.753, 0.650, 0.576)
W (0.747, 0.350, 0.076)
W (0.747, 0.150, 0.924)
Y (0.723, 0.051, 0.702)
Y (0.277, 0.949, 0.298)
Y (0.223, 0.449, 0.202)
Y (0.277, 0.551, 0.702)
Y (0.223, 0.051, 0.798)
Y (0.777, 0.551, 0.798)
Y (0.723, 0.449, 0.298)
Y (0.777, 0.949, 0.202)
O (0.385, 0.203, 0.648)
O (0.650, 0.250, 0.000)
O (0.556, 0.098, 0.444)
O (0.503, 0.807, 0.760)
O (0.150, 0.250, 0.500)
O (0.997, 0.193, 0.260)
O (0.056, 0.402, 0.944)
O (0.458, 0.989, 0.900)
O (0.944, 0.598, 0.056)
O (0.885, 0.297, 0.148)
O (0.542, 0.011, 0.100)
O (0.850, 0.750, 0.500)
O (0.944, 0.902, 0.944)
O (0.503, 0.693, 0.240)
O (0.003, 0.807, 0.740)
O (0.003, 0.693, 0.260)
O (0.958, 0.511, 0.400)
O (0.444, 0.902, 0.556)
O (0.115, 0.703, 0.852)
O (0.115, 0.797, 0.148)
O (0.444, 0.598, 0.444)
O (0.542, 0.489, 0.900)
O (0.885, 0.203, 0.852)
O (0.497, 0.193, 0.240)
O (0.615, 0.703, 0.648)
O (0.997, 0.307, 0.740)
O (0.042, 0.489, 0.600)
O (0.958, 0.989, 0.600)
O (0.497, 0.307, 0.760)
O (0.556, 0.402, 0.556)
O (0.042, 0.011, 0.400)
O (0.056, 0.098, 0.056)
O (0.385, 0.297, 0.352)
O (0.350, 0.750, 0.000)
O (0.458, 0.511, 0.100)
O (0.615, 0.797, 0.352)

**Density of states at the Fermi level**: 0.00 states/eV per atom
**SG**: Pbcn
**VASP energy**: -0.7017 Ry per atom
**M_tot**: 0.00 μB per atom
**Crystal system**: orthorhombic
**Excess energy over the best structure of this formula in the dataset**: 9 meV per atom
**Energy relative to the elements, uncorrected**: -2740 meV/atom



A relaxed Y2W3O12 crystal. Source: the Alexandria database, functional PBEsol.

a = 10.051 Å, b = 10.138 Å, c = 14.099 Å
α = 90.00°, β = 90.00°, γ = 90.00°
Positions (direct):
O (0.372, 0.363, 0.936)
O (0.935, 0.586, 0.139)
O (0.128, 0.863, 0.564)
O (0.577, 0.338, 0.082)
O (0.935, 0.914, 0.861)
O (0.923, 0.838, 0.418)
O (0.143, 0.785, 0.159)
O (0.628, 0.637, 0.064)
O (0.682, 0.520, 0.263)
O (0.857, 0.285, 0.159)
O (0.577, 0.162, 0.918)
O (0.643, 0.785, 0.341)
O (0.318, 0.480, 0.737)
O (0.423, 0.662, 0.918)
O (0.435, 0.586, 0.361)
O (0.565, 0.414, 0.639)
O (0.818, 0.062, 0.033)
O (0.818, 0.020, 0.237)
O (0.128, 0.637, 0.436)
O (0.872, 0.363, 0.564)
O (0.065, 0.414, 0.861)
O (0.182, 0.938, 0.967)
O (0.318, 0.062, 0.467)
O (0.357, 0.285, 0.341)
O (0.872, 0.137, 0.436)
O (0.065, 0.086, 0.139)
O (0.182, 0.520, 0.237)
O (0.182, 0.562, 0.033)
O (0.565, 0.086, 0.361)
O (0.077, 0.162, 0.582)
O (0.182, 0.980, 0.763)
O (0.435, 0.914, 0.639)
O (0.077, 0.338, 0.418)
O (0.923, 0.662, 0.582)
O (0.143, 0.715, 0.841)
O (0.318, 0.020, 0.263)
O (0.682, 0.980, 0.737)
O (0.423, 0.838, 0.082)
O (0.372, 0.137, 0.064)
O (0.857, 0.215, 0.841)
O (0.643, 0.715, 0.659)
O (0.357, 0.215, 0.659)
O (0.818, 0.438, 0.967)
O (0.682, 0.938, 0.533)
O (0.628, 0.863, 0.936)
O (0.682, 0.562, 0.467)
O (0.318, 0.438, 0.533)
O (0.818, 0.480, 0.763)
W (0.611, 0.887, 0.642)
W (0.611, 0.613, 0.358)
W (0.889, 0.387, 0.858)
W (0.474, 0.250, 0.000)
W (0.526, 0.750, 0.000)
W (0.026, 0.750, 0.500)
W (0.974, 0.250, 0.500)
W (0.889, 0.113, 0.142)
W (0.389, 0.387, 0.642)
W (0.111, 0.613, 0.142)
W (0.111, 0.887, 0.858)
W (0.389, 0.113, 0.358)
Y (0.250, 0.969, 0.117)
Y (0.250, 0.031, 0.617)
Y (0.250, 0.531, 0.883)
Y (0.750, 0.531, 0.617)
Y (0.750, 0.031, 0.883)
Y (0.750, 0.469, 0.117)
Y (0.250, 0.469, 0.383)
Y (0.750, 0.969, 0.383)

**Density of states at the Fermi level**: 0.00 states/eV per atom
**SG**: Pbcn
**VASP energy**: -0.7022 Ry per atom
**M_tot**: 0.00 μB per atom
**Crystal system**: orthorhombic
**Energy relative to the elements, uncorrected**: -2609 meV/atom



A relaxed Y2W2O7 crystal. Source: the Alexandria database, functional PBEsol.

a = 7.180 Å, b = 7.180 Å, c = 7.181 Å
α = 60.69°, β = 60.69°, γ = 60.69°
Positions (direct):
W (0.000, 0.000, 0.500)
W (0.000, 0.000, 0.000)
W (0.500, 0.000, 0.000)
W (0.000, 0.500, 0.000)
Y (0.500, 0.500, 0.000)
Y (0.000, 0.500, 0.500)
Y (0.500, 0.500, 0.500)
Y (0.500, 0.000, 0.500)
O (0.907, 0.907, 0.342)
O (0.093, 0.658, 0.093)
O (0.625, 0.625, 0.625)
O (0.662, 0.090, 0.662)
O (0.658, 0.093, 0.093)
O (0.090, 0.662, 0.662)
O (0.375, 0.375, 0.375)
O (0.662, 0.662, 0.090)
O (0.910, 0.338, 0.338)
O (0.338, 0.910, 0.338)
O (0.338, 0.338, 0.910)
O (0.093, 0.093, 0.658)
O (0.342, 0.907, 0.907)
O (0.907, 0.342, 0.907)

**Density of states at the Fermi level**: 0.27 states/eV per atom
**SG**: R-3m
**VASP energy**: -0.7108 Ry per atom
**M_tot**: 0.27 μB per atom
**Crystal system**: trigonal
**Energy relative to the elements, uncorrected**: -2580 meV/atom